The following is a PBE calculation of a relaxed structure of GdThMgIn, from the Alexandria database.

Lattice parameters (Å, degrees): 5.412 5.412 5.412 60.00 60.00 60.00
Element x y z (fractional)
Gd: 0.000 0.000 0.000
Th: 0.500 0.500 0.500
Mg: 0.750 0.750 0.750
In: 0.250 0.250 0.250

Its symmetry is F-43m (216). The formation energy is -186 meV per atom. Its calculated total energy is -6.644 eV per atom.